Computed, not measured: a geometry-optimized PmTh2Fe9 structure at the PBE-GGA level of DFT.

a = 8.7707 Å, b = 8.7707 Å, c = 8.7707 Å
α = 34.23°, β = 34.23°, γ = 34.23°
Fractional coordinates of all 12 atoms:
Pm 0.0000 0.0000 0.0000
Th 0.1406 0.1406 0.1406
Th 0.8594 0.8594 0.8594
Fe 0.0825 0.5803 0.5803
Fe 0.3327 0.3327 0.3327
Fe 0.4197 0.4197 0.9175
Fe 0.4197 0.9175 0.4197
Fe 0.5000 0.5000 0.5000
Fe 0.5803 0.0825 0.5803
Fe 0.5803 0.5803 0.0825
Fe 0.6673 0.6673 0.6673
Fe 0.9175 0.4197 0.4197

* calculated formation energy: -36 meV/atom
* spin magnetization: 17.8 μB per formula unit

Computed, not measured: a geometry-optimized Tb6P2CS3 structure at the PBE-GGA level of DFT.

a = 8.8060 Å, b = 8.8060 Å, c = 7.9153 Å
α = 103.30°, β = 103.30°, γ = 25.57°
Fractional coordinates of all 12 atoms:
Tb 0.0004 0.0004 0.2195
Tb 0.9996 0.9996 0.7805
Tb 0.3337 0.3337 0.4203
Tb 0.3479 0.3479 0.9215
Tb 0.6521 0.6521 0.0785
Tb 0.6663 0.6663 0.5797
P 0.1662 0.1662 0.3323
P 0.8338 0.8338 0.6677
C 0.5000 0.5000 0.0000
S 0.1685 0.1685 0.8349
S 0.5000 0.5000 0.5000
S 0.8315 0.8315 0.1651

* spin magnetization: 0.0 μB per formula unit
* E_form (uncorrected): -1669 meV per atom

Computed, not measured: a geometry-optimized Ba19Tl4Pd6 structure at the PBE-GGA level of DFT.

a = 11.9332 Å, b = 11.9332 Å, c = 11.9332 Å
α = 109.47°, β = 109.47°, γ = 109.47°
Fractional coordinates of all 29 atoms:
Ba 0.0000 0.0000 0.0000
Ba 0.0000 0.3518 0.3518
Ba 0.0000 0.6482 0.6482
Ba 0.0130 0.6581 0.2408
Ba 0.2278 0.6451 0.9870
Ba 0.2408 0.0130 0.6581
Ba 0.3419 0.3549 0.5827
Ba 0.3518 0.0000 0.3518
Ba 0.3518 0.3518 0.0000
Ba 0.3549 0.5827 0.3419
Ba 0.4173 0.7722 0.7592
Ba 0.5827 0.3419 0.3549
Ba 0.6451 0.9870 0.2278
Ba 0.6482 0.0000 0.6482
Ba 0.6482 0.6482 0.0000
Ba 0.6581 0.2408 0.0130
Ba 0.7592 0.4173 0.7722
Ba 0.7722 0.7592 0.4173
Ba 0.9870 0.2278 0.6451
Tl 0.0000 0.0000 0.3279
Tl 0.0000 0.3279 0.0000
Tl 0.3279 0.0000 0.0000
Tl 0.6721 0.6721 0.6721
Pd 0.1872 0.5000 0.6872
Pd 0.3128 0.8128 0.5000
Pd 0.5000 0.3128 0.8128
Pd 0.5000 0.6872 0.1872
Pd 0.6872 0.1872 0.5000
Pd 0.8128 0.5000 0.3128

* calculated formation energy: -322 meV/atom
* spin magnetization: 0.0 μB per formula unit

Computed, not measured: a geometry-optimized PmNdTl4 structure at the PBE-GGA level of DFT.

a = 3.7657 Å, b = 3.7657 Å, c = 12.2792 Å
α = 90.00°, β = 90.00°, γ = 90.00°
Fractional coordinates of all 6 atoms:
Pm 0.0000 0.0000 0.0000
Nd 0.5000 0.5000 0.5000
Tl 0.0000 0.0000 0.3267
Tl 0.0000 0.0000 0.6733
Tl 0.5000 0.5000 0.1710
Tl 0.5000 0.5000 0.8290

* calculated formation energy: -192 meV/atom
* spin magnetization: 0.0 μB per formula unit
* energy relative to the lowest polymorph listed for this composition: 0 meV/atom

Computed, not measured: a geometry-optimized Sc3PtRh structure at the PBE-GGA level of DFT.

a = 3.8300 Å, b = 6.6269 Å, c = 8.1317 Å
α = 90.00°, β = 90.00°, γ = 90.00°
Fractional coordinates of all 10 atoms:
Sc 0.2500 0.0129 0.1814
Sc 0.2500 0.2500 0.5500
Sc 0.2500 0.4871 0.1814
Sc 0.7500 0.5129 0.8186
Sc 0.7500 0.7500 0.4500
Sc 0.7500 0.9871 0.8186
Pt 0.2500 0.2500 0.9044
Pt 0.7500 0.7500 0.0956
Rh 0.2500 0.7500 0.6658
Rh 0.7500 0.2500 0.3342

* calculated formation energy: -811 meV/atom
* spin magnetization: 0.0 μB per formula unit
* energy relative to the lowest polymorph listed for this composition: 0 meV/atom

Computed, not measured: a geometry-optimized Nd6HoTl structure at the PBE-GGA level of DFT.

a = 5.0305 Å, b = 5.0305 Å, c = 10.3571 Å
α = 90.00°, β = 90.00°, γ = 90.00°
Fractional coordinates of all 8 atoms:
Nd 0.0000 0.0000 0.0000
Nd 0.0000 0.0000 0.5000
Nd 0.0000 0.5000 0.2446
Nd 0.0000 0.5000 0.7554
Nd 0.5000 0.0000 0.2446
Nd 0.5000 0.0000 0.7554
Ho 0.5000 0.5000 0.5000
Tl 0.5000 0.5000 0.0000

* calculated formation energy: -87 meV/atom
* spin magnetization: 0.0 μB per formula unit

Computed, not measured: a geometry-optimized BiMo3Ru structure at the PBE-GGA level of DFT.

a = 4.7694 Å, b = 4.7694 Å, c = 4.7694 Å
α = 90.00°, β = 90.00°, γ = 90.00°
Fractional coordinates of all 5 atoms:
Bi 0.0000 0.0000 0.0000
Mo 0.0000 0.5000 0.5000
Mo 0.5000 0.0000 0.5000
Mo 0.5000 0.5000 0.0000
Ru 0.5000 0.5000 0.5000

* calculated formation energy: 1408 meV/atom
* spin magnetization: 2.2 μB per formula unit
* energy relative to the lowest polymorph listed for this composition: 0 meV/atom

Computed, not measured: a geometry-optimized Nd2ClO2 structure at the PBE-GGA level of DFT.

a = 6.3098 Å, b = 6.3098 Å, c = 8.1859 Å
α = 106.38°, β = 106.38°, γ = 44.27°
Fractional coordinates of all 10 atoms:
Nd 0.0106 0.0106 0.2333
Nd 0.3320 0.3320 0.9297
Nd 0.6680 0.6680 0.0703
Nd 0.9894 0.9894 0.7667
Cl 0.1656 0.1656 0.5850
Cl 0.8344 0.8344 0.4150
O 0.1439 0.1439 0.0453
O 0.4984 0.4984 0.1818
O 0.5016 0.5016 0.8182
O 0.8561 0.8561 0.9547

* spin magnetization: 0.0 μB per formula unit
* E_form (uncorrected): -2732 meV per atom